[1]
Ca3Pm5H12 | GGA-PBE | relaxed

Computed properties:
The space-group type is No. 230. The calculation puts the density of states at the Fermi level at 43.21 states/eV/cell. The value obtained for the final energy is -3.8916 eV/atom.

a b c (Å): 11.906 11.906 11.906
angles (deg): 109.47 109.47 109.47
Sites, in units of the cell vectors:
Ca (0.125, 0.250, 0.375)
Ca (0.125, 0.375, 0.750)
Ca (0.250, 0.375, 0.125)
Ca (0.250, 0.875, 0.625)
Ca (0.375, 0.125, 0.250)
Ca (0.375, 0.750, 0.125)
Ca (0.625, 0.250, 0.875)
Ca (0.625, 0.875, 0.750)
Ca (0.750, 0.125, 0.375)
Ca (0.750, 0.625, 0.875)
Ca (0.875, 0.625, 0.250)
Ca (0.875, 0.750, 0.625)
Pm (0.000, 0.000, 0.000)
Pm (0.000, 0.000, 0.500)
Pm (0.000, 0.500, 0.000)
Pm (0.000, 0.500, 0.500)
Pm (0.125, 0.750, 0.875)
Pm (0.125, 0.875, 0.250)
Pm (0.250, 0.125, 0.875)
Pm (0.250, 0.625, 0.375)
Pm (0.375, 0.250, 0.625)
Pm (0.375, 0.625, 0.750)
Pm (0.500, 0.000, 0.000)
Pm (0.500, 0.000, 0.500)
Pm (0.500, 0.500, 0.000)
Pm (0.500, 0.500, 0.500)
Pm (0.625, 0.375, 0.250)
Pm (0.625, 0.750, 0.375)
Pm (0.750, 0.375, 0.625)
Pm (0.750, 0.875, 0.125)
Pm (0.875, 0.125, 0.750)
Pm (0.875, 0.250, 0.125)
H (0.053, 0.213, 0.159)
H (0.053, 0.340, 0.894)
H (0.054, 0.713, 0.660)
H (0.054, 0.841, 0.394)
H (0.106, 0.659, 0.446)
H (0.106, 0.947, 0.660)
H (0.159, 0.053, 0.213)
H (0.159, 0.606, 0.946)
H (0.160, 0.213, 0.554)
H (0.160, 0.447, 0.606)
H (0.213, 0.159, 0.053)
H (0.213, 0.554, 0.160)
H (0.287, 0.340, 0.946)
H (0.287, 0.447, 0.341)
H (0.340, 0.894, 0.053)
H (0.340, 0.946, 0.287)
H (0.341, 0.287, 0.447)
H (0.341, 0.554, 0.894)
H (0.394, 0.054, 0.841)
H (0.394, 0.840, 0.553)
H (0.446, 0.106, 0.659)
H (0.446, 0.840, 0.787)
H (0.447, 0.341, 0.287)
H (0.447, 0.606, 0.160)
H (0.553, 0.394, 0.840)
H (0.553, 0.659, 0.713)
H (0.554, 0.160, 0.213)
H (0.554, 0.894, 0.341)
H (0.606, 0.160, 0.447)
H (0.606, 0.946, 0.159)
H (0.659, 0.446, 0.106)
H (0.659, 0.713, 0.553)
H (0.660, 0.054, 0.713)
H (0.660, 0.106, 0.947)
H (0.713, 0.553, 0.659)
H (0.713, 0.660, 0.054)
H (0.787, 0.446, 0.840)
H (0.787, 0.841, 0.947)
H (0.840, 0.553, 0.394)
H (0.840, 0.787, 0.446)
H (0.841, 0.394, 0.054)
H (0.841, 0.947, 0.787)
H (0.894, 0.053, 0.340)
H (0.894, 0.341, 0.554)
H (0.946, 0.159, 0.606)
H (0.946, 0.287, 0.340)
H (0.947, 0.660, 0.106)
H (0.947, 0.787, 0.841)


[2]
Ca2PmH6 | GGA-PBE | relaxed

Computed properties:
The space-group type is No. 225. The calculation puts the density of states at the Fermi level at 2.42 states/eV/cell. The value obtained for the final energy is -3.2541 eV/atom.

a b c (Å): 5.725 5.725 5.725
angles (deg): 60.00 60.00 60.00
Sites, in units of the cell vectors:
Ca (0.250, 0.250, 0.250)
Ca (0.750, 0.750, 0.750)
Pm (0.000, 0.000, 0.000)
H (0.272, 0.272, 0.728)
H (0.272, 0.728, 0.272)
H (0.272, 0.728, 0.728)
H (0.728, 0.272, 0.272)
H (0.728, 0.272, 0.728)
H (0.728, 0.728, 0.272)